Na2YGa | PBE | relaxed

* ΔE_f: 0.073 eV per atom
* size of the total moment: 0.000 μB per formula unit
* space-group type: I-42d (122)

The structure in POSCAR format:
```
Na2YGa
1.0
4.294 0.000 0.000
0.000 4.294 0.000
2.147 2.147 12.166
Y Na Ga
2 4 2
direct
0.000 0.000 0.000
0.750 0.250 0.500
0.375 0.402 0.750
0.152 0.625 0.250
0.598 0.125 0.250
0.875 0.848 0.750
0.250 0.750 0.500
0.500 0.500 0.000
```

---

Na2YGa2 | PBE | relaxed

* ΔE_f: -0.134 eV per atom
* size of the total moment: 0.000 μB per formula unit
* space-group type: I4/mmm (139)
* energy above the most stable polymorph in this dataset: 0.0000 eV per atom

The structure in POSCAR format:
```
Na2YGa2
1.0
4.190 0.000 0.000
0.000 4.190 0.000
2.095 2.095 6.952
Y Ga Na
1 2 2
direct
0.000 0.000 0.000
0.589 0.589 0.822
0.411 0.411 0.178
0.250 0.750 0.500
0.750 0.250 0.500
```